{
  "formula": "Tl6HgAs",
  "functional": "PBE",
  "state": "optimized geometry",
  "lattice_angstrom": [[4.408, 0.000, 0.000], [0.000, 9.809, 0.000], [0.000, 0.000, 11.075]],
  "species": ["Tl", "Tl", "Tl", "Tl", "Tl", "Tl", "Tl", "Tl", "Tl", "Tl", "Tl", "Tl", "Hg", "Hg", "As", "As"],
  "fractional_positions": [[0.000, 0.000, 0.000], [0.000, 0.206, 0.270], [0.000, 0.294, 0.770], [0.000, 0.500, 0.500], [0.000, 0.706, 0.770], [0.000, 0.794, 0.270], [0.500, 0.000, 0.755], [0.500, 0.241, 0.514], [0.500, 0.259, 0.014], [0.500, 0.500, 0.255], [0.500, 0.741, 0.014], [0.500, 0.759, 0.514], [0.000, 0.000, 0.531], [0.000, 0.500, 0.031], [0.500, 0.000, 0.205], [0.500, 0.500, 0.705]],
  "e_form_kj_per_mol_fu": 17.1,
  "dft_energy_ev_per_atom": -2.37
}



{
  "formula": "La2TbAu",
  "functional": "PBE",
  "state": "optimized geometry",
  "lattice_angstrom": [[3.815, 0.000, 0.000], [0.000, 3.815, 0.000], [0.000, 0.000, 8.522]],
  "species": ["La", "La", "Tb", "Au"],
  "fractional_positions": [[0.000, 0.000, 0.214], [0.000, 0.000, 0.786], [0.500, 0.500, 0.500], [0.500, 0.500, 0.000]],
  "e_form_kj_per_mol_fu": -135.4,
  "dft_energy_ev_per_atom": -4.79
}



{
  "formula": "Pr6Bi3SbAs2",
  "functional": "PBE",
  "state": "optimized geometry",
  "lattice_angstrom": [[9.856, -2.251, 0.000], [9.856, 2.251, 0.000], [-2.156, 0.000, 8.803]],
  "species": ["Pr", "Pr", "Pr", "Pr", "Pr", "Pr", "Bi", "Bi", "Bi", "Sb", "As", "As"],
  "fractional_positions": [[0.007, 0.007, 0.250], [0.328, 0.328, 0.428], [0.333, 0.333, 0.902], [0.667, 0.667, 0.098], [0.672, 0.672, 0.572], [0.993, 0.993, 0.750], [0.164, 0.164, 0.832], [0.500, 0.500, 0.500], [0.836, 0.836, 0.168], [0.500, 0.500, 0.000], [0.168, 0.168, 0.335], [0.832, 0.832, 0.665]],
  "formation_energy_uncorrected_ev_per_atom": -1.1588,
  "dft_energy_ev_per_atom": -5.64
}